(1)
# PRuBr (PBE, relaxed)
data_PRuBr
_chemical_formula_sum 'P1 Ru1 Br1'
_cell_length_a 3.6154
_cell_length_b 3.6154
_cell_length_c 6.1434
_cell_angle_alpha 90.00
_cell_angle_beta 90.00
_cell_angle_gamma 120.00
_symmetry_space_group_name_H-M 'P 3 m 1'
_symmetry_Int_Tables_number 156
_symmetry_space_group_name_Hall 'P 3 -2"'
loop_
_atom_site_label
_atom_site_fract_x
_atom_site_fract_y
_atom_site_fract_z
_atom_site_occupancy
P1 0.0000 0.0000 0.0000 1
Ru1 0.6667 0.3333 0.1311 1
Br1 0.3333 0.6667 0.4258 1
# VASP energy: -16.97 eV/f.u.
# M_tot: 0.00 Bohr magnetons per cell


(2)
# LaHoGaCo (PBE, relaxed)
data_LaHoGaCo
_chemical_formula_sum 'La4 Ho4 Ga4 Co4'
_cell_length_a 7.1389
_cell_length_b 7.1389
_cell_length_c 7.1389
_cell_angle_alpha 90.00
_cell_angle_beta 90.00
_cell_angle_gamma 90.00
_symmetry_space_group_name_H-M 'F -4 3 m'
_symmetry_Int_Tables_number 216
_symmetry_space_group_name_Hall 'F -4 2 3'
loop_
_atom_site_label
_atom_site_fract_x
_atom_site_fract_y
_atom_site_fract_z
_atom_site_occupancy
La1 0.0000 0.0000 0.0000 1
Ho1 0.0000 0.0000 0.5000 1
Ga1 0.2500 0.2500 0.2500 1
Co1 0.2500 0.2500 0.7500 1
# VASP energy: -20.62 eV/f.u.
# M_tot: 3.97 Bohr magnetons per cell
# energy relative to the elements: -0.245 eV/atom


(3)
# Pm3Dy2Tm8 (PBE, relaxed)
data_Pm3Dy2Tm8
_chemical_formula_sum 'Pm6 Dy4 Tm16'
_cell_length_a 19.9863
_cell_length_b 7.6472
_cell_length_c 5.5678
_cell_angle_alpha 90.00
_cell_angle_beta 90.03
_cell_angle_gamma 90.00
_symmetry_space_group_name_H-M 'C 1 2/m 1'
_symmetry_Int_Tables_number 12
_symmetry_space_group_name_Hall '-C 2y'
loop_
_atom_site_label
_atom_site_fract_x
_atom_site_fract_y
_atom_site_fract_z
_atom_site_occupancy
Pm1 0.0000 0.0000 0.0000 1
Pm2 0.0000 0.2919 0.5000 1
Dy1 0.2408 0.0000 0.9993 1
Tm1 0.1098 0.2908 0.0002 1
Tm2 0.1343 0.0000 0.4998 1
Tm3 0.1702 0.5000 0.5006 1
# VASP energy: -55.89 eV/f.u.
# M_tot: 0.00 Bohr magnetons per cell
# energy relative to the elements: 0.257 eV/atom


(4)
# TbThGaNi (PBE, relaxed)
data_TbThGaNi
_chemical_formula_sum 'Tb4 Th4 Ga4 Ni4'
_cell_length_a 7.1307
_cell_length_b 7.1307
_cell_length_c 7.1307
_cell_angle_alpha 90.00
_cell_angle_beta 90.00
_cell_angle_gamma 90.00
_symmetry_space_group_name_H-M 'F -4 3 m'
_symmetry_Int_Tables_number 216
_symmetry_space_group_name_Hall 'F -4 2 3'
loop_
_atom_site_label
_atom_site_fract_x
_atom_site_fract_y
_atom_site_fract_z
_atom_site_occupancy
Tb1 0.0000 0.0000 0.0000 1
Th1 0.0000 0.0000 0.5000 1
Ga1 0.2500 0.2500 0.7500 1
Ni1 0.2500 0.2500 0.2500 1
# VASP energy: -22.17 eV/f.u.
# M_tot: 0.01 Bohr magnetons per cell
# energy relative to the elements: -0.329 eV/atom


(5)
# SrCoW2 (PBE, relaxed)
data_SrCoW2
_chemical_formula_sum 'Sr2 Co2 W4'
_cell_length_a 3.0589
_cell_length_b 5.3817
_cell_length_c 9.3909
_cell_angle_alpha 90.00
_cell_angle_beta 90.00
_cell_angle_gamma 90.00
_symmetry_space_group_name_H-M 'I m m 2'
_symmetry_Int_Tables_number 44
_symmetry_space_group_name_Hall 'I 2 -2'
loop_
_atom_site_label
_atom_site_fract_x
_atom_site_fract_y
_atom_site_fract_z
_atom_site_occupancy
Sr1 0.0000 0.0000 0.0000 1
Co1 0.0000 0.5000 0.2253 1
W1 0.0000 0.0000 0.5184 1
W2 0.0000 0.5000 0.8000 1
# VASP energy: -30.22 eV/f.u.
# M_tot: 1.21 Bohr magnetons per cell
# energy relative to the elements: 1.118 eV/atom


(6)
# InSb3F (PBE, relaxed)
data_InSb3F
_chemical_formula_sum 'In1 Sb3 F1'
_cell_length_a 5.6078
_cell_length_b 5.6078
_cell_length_c 5.6078
_cell_angle_alpha 90.00
_cell_angle_beta 90.00
_cell_angle_gamma 90.00
_symmetry_space_group_name_H-M 'P m -3 m'
_symmetry_Int_Tables_number 221
_symmetry_space_group_name_Hall '-P 4 2 3'
loop_
_atom_site_label
_atom_site_fract_x
_atom_site_fract_y
_atom_site_fract_z
_atom_site_occupancy
In1 0.0000 0.0000 0.0000 1
Sb1 0.0000 0.0000 0.5000 1
F1 0.5000 0.5000 0.5000 1
# VASP energy: -14.21 eV/f.u.
# M_tot: 0.00 Bohr magnetons per cell


(7)
# La3Tm3Th (PBE, relaxed)
data_La3Tm3Th
_chemical_formula_sum 'La6 Tm6 Th2'
_cell_length_a 11.3992
_cell_length_b 3.5903
_cell_length_c 11.7385
_cell_angle_alpha 90.00
_cell_angle_beta 92.77
_cell_angle_gamma 90.00
_symmetry_space_group_name_H-M 'P 1 21/m 1'
_symmetry_Int_Tables_number 11
_symmetry_space_group_name_Hall '-P 2yb'
loop_
_atom_site_label
_atom_site_fract_x
_atom_site_fract_y
_atom_site_fract_z
_atom_site_occupancy
La1 0.0259 0.2500 0.3642 1
La2 0.0522 0.2500 0.8896 1
La3 0.4404 0.2500 0.8854 1
Tm1 0.2372 0.2500 0.6620 1
Tm2 0.2603 0.2500 0.1564 1
Tm3 0.2734 0.7500 0.4173 1
Th1 0.4885 0.7500 0.6301 1
# VASP energy: -34.73 eV/f.u.
# M_tot: 0.00 Bohr magnetons per cell
# energy relative to the elements: 0.126 eV/atom


(8)
# PrNd9In2 (PBE, relaxed)
data_PrNd9In2
_chemical_formula_sum 'Pr1 Nd9 In2'
_cell_length_a 5.0247
_cell_length_b 5.0247
_cell_length_c 15.4613
_cell_angle_alpha 90.00
_cell_angle_beta 90.00
_cell_angle_gamma 90.00
_symmetry_space_group_name_H-M 'P 4/m m m'
_symmetry_Int_Tables_number 123
_symmetry_space_group_name_Hall '-P 4 2'
loop_
_atom_site_label
_atom_site_fract_x
_atom_site_fract_y
_atom_site_fract_z
_atom_site_occupancy
Pr1 0.0000 0.0000 0.0000 1
Nd1 0.0000 0.5000 0.1758 1
Nd2 0.0000 0.5000 0.5000 1
Nd3 0.5000 0.5000 0.0000 1
Nd4 0.5000 0.5000 0.3401 1
In1 0.0000 0.0000 0.3388 1
# VASP energy: -55.21 eV/f.u.
# M_tot: 0.00 Bohr magnetons per cell
# energy relative to the elements: -0.170 eV/atom


(9)
# Zn2AsRh (PBE, relaxed)
data_Zn2AsRh
_chemical_formula_sum 'Zn8 As4 Rh4'
_cell_length_a 7.2534
_cell_length_b 7.2534
_cell_length_c 4.9982
_cell_angle_alpha 90.00
_cell_angle_beta 90.00
_cell_angle_gamma 90.00
_symmetry_space_group_name_H-M 'I -4 2 d'
_symmetry_Int_Tables_number 122
_symmetry_space_group_name_Hall 'I -4 2bw'
loop_
_atom_site_label
_atom_site_fract_x
_atom_site_fract_y
_atom_site_fract_z
_atom_site_occupancy
Zn1 0.2500 0.2496 0.3750 1
As1 0.0000 0.0000 0.0000 1
Rh1 0.0000 0.0000 0.5000 1
# VASP energy: -14.27 eV/f.u.
# M_tot: 0.00 Bohr magnetons per cell
# energy relative to the elements: 0.069 eV/atom


(10)
# AsIrAu (PBE, relaxed)
data_AsIrAu
_chemical_formula_sum 'As1 Ir1 Au1'
_cell_length_a 2.9732
_cell_length_b 2.9732
_cell_length_c 6.9227
_cell_angle_alpha 90.00
_cell_angle_beta 90.00
_cell_angle_gamma 120.00
_symmetry_space_group_name_H-M 'P 3 m 1'
_symmetry_Int_Tables_number 156
_symmetry_space_group_name_Hall 'P 3 -2"'
loop_
_atom_site_label
_atom_site_fract_x
_atom_site_fract_y
_atom_site_fract_z
_atom_site_occupancy
As1 0.0000 0.0000 0.0000 1
Ir1 0.3333 0.6667 0.7408 1
Au1 0.6667 0.3333 0.4006 1
# VASP energy: -16.32 eV/f.u.
# M_tot: 0.00 Bohr magnetons per cell
# energy relative to the elements: 0.155 eV/atom


(11)
# Tb5Ce2Y12 (PBE, relaxed)
data_Tb5Ce2Y12
_chemical_formula_sum 'Tb10 Ce4 Y24'
_cell_length_a 22.4425
_cell_length_b 6.9421
_cell_length_c 8.6723
_cell_angle_alpha 90.00
_cell_angle_beta 111.96
_cell_angle_gamma 90.00
_symmetry_space_group_name_H-M 'C 1 2/m 1'
_symmetry_Int_Tables_number 12
_symmetry_space_group_name_Hall '-C 2y'
loop_
_atom_site_label
_atom_site_fract_x
_atom_site_fract_y
_atom_site_fract_z
_atom_site_occupancy
Tb1 0.0000 0.0000 0.0000 1
Tb2 0.1532 0.5000 0.5895 1
Tb3 0.2474 0.0000 0.9900 1
Ce1 0.0000 0.3051 0.5000 1
Y1 0.0516 0.5000 0.1906 1
Y2 0.1051 0.2579 0.8745 1
Y3 0.1370 0.0000 0.5397 1
Y4 0.2032 0.2539 0.2893 1
# VASP energy: -109.51 eV/f.u.
# M_tot: 3.68 Bohr magnetons per cell
# energy relative to the elements: 0.162 eV/atom


(12)
# DyLuSnPd (PBE, relaxed)
data_DyLuSnPd
_chemical_formula_sum 'Dy4 Lu4 Sn4 Pd4'
_cell_length_a 7.2220
_cell_length_b 7.2220
_cell_length_c 7.2220
_cell_angle_alpha 90.00
_cell_angle_beta 90.00
_cell_angle_gamma 90.00
_symmetry_space_group_name_H-M 'F -4 3 m'
_symmetry_Int_Tables_number 216
_symmetry_space_group_name_Hall 'F -4 2 3'
loop_
_atom_site_label
_atom_site_fract_x
_atom_site_fract_y
_atom_site_fract_z
_atom_site_occupancy
Dy1 0.0000 0.0000 0.0000 1
Lu1 0.0000 0.0000 0.5000 1
Sn1 0.2500 0.2500 0.7500 1
Pd1 0.2500 0.2500 0.2500 1
# VASP energy: -21.28 eV/f.u.
# M_tot: 0.00 Bohr magnetons per cell
# energy relative to the elements: -0.741 eV/atom


(13)
# CuNi2Os (PBE, relaxed)
data_CuNi2Os
_chemical_formula_sum 'Cu2 Ni4 Os2'
_cell_length_a 8.5263
_cell_length_b 2.5530
_cell_length_c 4.4956
_cell_angle_alpha 90.00
_cell_angle_beta 99.11
_cell_angle_gamma 90.00
_symmetry_space_group_name_H-M 'C 1 m 1'
_symmetry_Int_Tables_number 8
_symmetry_space_group_name_Hall 'C -2y'
loop_
_atom_site_label
_atom_site_fract_x
_atom_site_fract_y
_atom_site_fract_z
_atom_site_occupancy
Cu1 0.0000 0.0000 0.0000 1
Ni1 0.0005 0.5000 0.5036 1
Ni2 0.2481 0.0000 0.7750 1
Os1 0.2541 0.5000 0.2834 1
# VASP energy: -26.34 eV/f.u.
# M_tot: 0.01 Bohr magnetons per cell
# energy relative to the elements: 0.138 eV/atom